No. 1
The following is a PBE calculation of crystalline KGeAsIr2 at its relaxed geometry, from OQMD.

Results
Total magnetization   0.00 Bohr magnetons per cell
DFT total energy   -6.027 eV per atom
ρ   8542 kg/m3

a = 7.245 Å, b = 7.245 Å, c = 7.245 Å
α = 147.23°, β = 147.23°, γ = 47.03°
Positions (direct):
Ir (0.252, 0.752, 0.500)
Ir (0.752, 0.252, 0.500)
K (0.998, 0.998, 0.000)
Ge (0.645, 0.645, 0.000)
As (0.354, 0.354, 0.000)

No. 2
The following is a PBE calculation of crystalline LaGeAsIr2 at its relaxed geometry, from OQMD.

Results
Total magnetization   0.00 Bohr magnetons per cell
DFT total energy   -7.207 eV per atom
ρ   11674 kg/m3

a = 4.372 Å, b = 4.372 Å, c = 9.984 Å
α = 90.00°, β = 90.00°, γ = 90.00°
Positions (direct):
La (0.500, 0.000, 0.757)
La (0.000, 0.500, 0.243)
Ir (0.500, 0.500, 0.500)
Ir (0.000, 0.500, 0.881)
Ir (0.500, 0.000, 0.119)
Ir (0.000, 0.000, 0.500)
Ge (0.000, 0.500, 0.631)
Ge (0.500, 0.000, 0.369)
As (0.000, 0.000, 0.000)
As (0.500, 0.500, 0.000)

No. 3
The following is a PBE calculation of crystalline NaGeAsIr2 at its relaxed geometry, from OQMD.

Results
Total magnetization   0.01 Bohr magnetons per cell
DFT total energy   -6.017 eV per atom
ρ   9994 kg/m3

a = 6.113 Å, b = 6.113 Å, c = 6.113 Å
α = 140.35°, β = 140.35°, γ = 57.32°
Positions (direct):
As (0.374, 0.374, 0.000)
Na (0.000, 0.000, 0.000)
Ir (0.750, 0.250, 0.500)
Ir (0.250, 0.750, 0.500)
Ge (0.625, 0.625, 0.000)

No. 4
The following is a PBE calculation of crystalline GeAsIrO at its relaxed geometry, from OQMD.

Results
E above lowest polymorph   0 meV/atom
Total magnetization   0.00 Bohr magnetons per cell
ρ   8225 kg/m3

a = 3.845 Å, b = 3.845 Å, c = 9.719 Å
α = 90.00°, β = 90.00°, γ = 90.00°
Positions (direct):
As (0.250, 0.250, 0.657)
As (0.750, 0.750, 0.343)
Ir (0.750, 0.250, 0.500)
Ir (0.250, 0.750, 0.500)
O (0.750, 0.250, 0.000)
O (0.250, 0.750, 0.000)
Ge (0.250, 0.250, 0.099)
Ge (0.750, 0.750, 0.901)

> The lowest ρ belongs to which entry?

GeAsIrO

> Number 4 is which compound?

GeAsIrO

> Which of these has the lowest ρ?

GeAsIrO